Entry 1:
Material: La2Sm4DyTm
Method: DFT, PBE
State: optimized geometry

Structure (CIF):
```
data_La2Sm4DyTm
_cell_length_a 5.117
_cell_length_b 5.138
_cell_length_c 10.313
_cell_angle_alpha 90.00
_cell_angle_beta 90.10
_cell_angle_gamma 90.00
_space_group_name_H-M_alt 'P 1 2/m 1'
_space_group_IT_number 10
_space_group_name_Hall '-P 2y'
loop_
_atom_site_label
_atom_site_type_symbol
_atom_site_fract_x
_atom_site_fract_y
_atom_site_fract_z
_atom_site_occupancy
La1 La 0.000 0.000 0.000 1
La2 La 0.500 0.500 0.500 1
Sm1 Sm 0.000 0.500 0.249 1
Sm2 Sm 0.500 0.000 0.250 1
Dy1 Dy 0.000 0.000 0.500 1
Tm1 Tm 0.500 0.500 0.000 1
```

Results
crystal system = monoclinic
M_tot = 0.00 μB per formula unit
E_tot = -37.6 eV per cell
E_form = 0.029 eV per atom


Entry 2:
Material: La2YAsRu
Method: DFT, PBE
State: optimized geometry

Structure (CIF):
```
data_La2YAsRu
_cell_length_a 5.628
_cell_length_b 5.628
_cell_length_c 5.250
_cell_angle_alpha 90.00
_cell_angle_beta 90.00
_cell_angle_gamma 90.00
_space_group_name_H-M_alt 'P 4/m m m'
_space_group_IT_number 123
_space_group_name_Hall '-P 4 2'
loop_
_atom_site_label
_atom_site_type_symbol
_atom_site_fract_x
_atom_site_fract_y
_atom_site_fract_z
_atom_site_occupancy
La1 La 0.000 0.500 0.000 1
Y1 Y 0.000 0.000 0.500 1
As1 As 0.000 0.000 0.000 1
Ru1 Ru 0.500 0.500 0.500 1
```

Results
crystal system = tetragonal
M_tot = 0.02 μB per formula unit
E_tot = -29.3 eV per cell
E_form = 0.194 eV per atom


Entry 3:
Material: TbDy2TmRh4
Method: DFT, PBE
State: optimized geometry

Structure (CIF):
```
data_TbDy2TmRh4
_cell_length_a 4.8296
_cell_length_b 4.8296
_cell_length_c 23.7058
_cell_angle_alpha 90.00
_cell_angle_beta 90.00
_cell_angle_gamma 120.00
_space_group_name_H-M_alt 'R -3 m'
_space_group_IT_number 166
_space_group_name_Hall '-R 3 2"'
loop_
_atom_site_label
_atom_site_type_symbol
_atom_site_fract_x
_atom_site_fract_y
_atom_site_fract_z
_atom_site_occupancy
Tb1 Tb 0.0000 0.0000 0.0000 1
Dy1 Dy 0.0000 0.0000 0.2493 1
Tm1 Tm 0.0000 0.0000 0.5000 1
Rh1 Rh 0.0000 0.0000 0.1259 1
Rh2 Rh 0.0000 0.0000 0.3759 1
```

Results
crystal system = trigonal
M_tot = 0.00 μB per formula unit
E_tot = -164.6 eV per cell
E_form = -0.896 eV per atom


Entry 4:
Material: Hf4AsN
Method: DFT, PBE
State: optimized geometry

Structure (CIF):
```
data_Hf4AsN
_cell_length_a 7.994
_cell_length_b 7.994
_cell_length_c 7.271
_cell_angle_alpha 90.00
_cell_angle_beta 90.00
_cell_angle_gamma 90.00
_space_group_name_H-M_alt 'I 41 m d'
_space_group_IT_number 109
_space_group_name_Hall 'I 4bw -2'
loop_
_atom_site_label
_atom_site_type_symbol
_atom_site_fract_x
_atom_site_fract_y
_atom_site_fract_z
_atom_site_occupancy
Hf1 Hf 0.000 0.290 0.000 1
Hf2 Hf 0.000 0.312 0.427 1
As1 As 0.000 0.000 0.478 1
N1 N 0.000 0.000 0.948 1
```

Results
crystal system = tetragonal
M_tot = 0.00 μB per formula unit
E_tot = -229.4 eV per cell
uncorrected formation energy = -0.76 eV per atom


Entry 5:
Material: AlNCl3
Method: DFT, PBE
State: optimized geometry

Structure (CIF):
```
data_AlNCl3
_cell_length_a 4.708
_cell_length_b 4.708
_cell_length_c 4.708
_cell_angle_alpha 90.00
_cell_angle_beta 90.00
_cell_angle_gamma 90.00
_space_group_name_H-M_alt 'P m -3 m'
_space_group_IT_number 221
_space_group_name_Hall '-P 4 2 3'
loop_
_atom_site_label
_atom_site_type_symbol
_atom_site_fract_x
_atom_site_fract_y
_atom_site_fract_z
_atom_site_occupancy
Al1 Al 0.000 0.000 0.000 1
N1 N 0.500 0.500 0.500 1
Cl1 Cl 0.000 0.000 0.500 1
```

Results
crystal system = cubic
M_tot = 3.00 μB per formula unit
E_tot = -17.1 eV per cell
uncorrected formation energy = 0.10 eV per atom


Entry 6:
Material: ThNpSe
Method: DFT, PBE
State: optimized geometry

Structure (CIF):
```
data_ThNpSe
_cell_length_a 13.721
_cell_length_b 3.638
_cell_length_c 7.016
_cell_angle_alpha 90.00
_cell_angle_beta 112.37
_cell_angle_gamma 90.00
_space_group_name_H-M_alt 'C 1 2/m 1'
_space_group_IT_number 12
_space_group_name_Hall '-C 2y'
loop_
_atom_site_label
_atom_site_type_symbol
_atom_site_fract_x
_atom_site_fract_y
_atom_site_fract_z
_atom_site_occupancy
Th1 Th 0.131 0.000 0.495 1
Np1 Np 0.216 0.000 0.068 1
Se1 Se 0.053 0.500 0.775 1
```

Results
crystal system = monoclinic
M_tot = 1.43 μB per formula unit
E_tot = -100.9 eV per cell
uncorrected formation energy = -0.46 eV per atom


Entry 7:
Material: KRbOsF2
Method: DFT, PBE
State: optimized geometry

Structure (CIF):
```
data_KRbOsF2
_cell_length_a 4.801
_cell_length_b 4.801
_cell_length_c 5.650
_cell_angle_alpha 90.00
_cell_angle_beta 90.00
_cell_angle_gamma 90.00
_space_group_name_H-M_alt 'P 4/m m m'
_space_group_IT_number 123
_space_group_name_Hall '-P 4 2'
loop_
_atom_site_label
_atom_site_type_symbol
_atom_site_fract_x
_atom_site_fract_y
_atom_site_fract_z
_atom_site_occupancy
K1 K 0.000 0.000 0.000 1
Rb1 Rb 0.500 0.500 0.000 1
Os1 Os 0.500 0.500 0.500 1
F1 F 0.000 0.500 0.500 1
```

Results
crystal system = tetragonal
M_tot = 2.28 μB per formula unit
E_tot = -17.0 eV per cell
uncorrected formation energy = 0.02 eV per atom


Entry 8:
Material: USiOs2
Method: DFT, PBE
State: optimized geometry

Structure (CIF):
```
data_USiOs2
_cell_length_a 2.977
_cell_length_b 2.977
_cell_length_c 7.026
_cell_angle_alpha 90.00
_cell_angle_beta 90.00
_cell_angle_gamma 90.00
_space_group_name_H-M_alt 'P 4/m m m'
_space_group_IT_number 123
_space_group_name_Hall '-P 4 2'
loop_
_atom_site_label
_atom_site_type_symbol
_atom_site_fract_x
_atom_site_fract_y
_atom_site_fract_z
_atom_site_occupancy
U1 U 0.000 0.000 0.000 1
Si1 Si 0.000 0.000 0.500 1
Os1 Os 0.500 0.500 0.294 1
```

Results
crystal system = tetragonal
M_tot = 0.00 μB per formula unit
E_tot = -40.1 eV per cell
uncorrected formation energy = -0.24 eV per atom


Entry 9:
Material: Ce2Si3Ni4Au
Method: DFT, PBE
State: optimized geometry

Structure (CIF):
```
data_Ce2Si3Ni4Au
_cell_length_a 3.973
_cell_length_b 3.973
_cell_length_c 10.196
_cell_angle_alpha 90.00
_cell_angle_beta 90.00
_cell_angle_gamma 90.00
_space_group_name_H-M_alt 'P -4 m 2'
_space_group_IT_number 115
_space_group_name_Hall 'P -4 -2'
loop_
_atom_site_label
_atom_site_type_symbol
_atom_site_fract_x
_atom_site_fract_y
_atom_site_fract_z
_atom_site_occupancy
Ce1 Ce 0.000 0.500 0.244 1
Si1 Si 0.000 0.500 0.882 1
Si2 Si 0.500 0.500 0.500 1
Ni1 Ni 0.000 0.000 0.000 1
Ni2 Ni 0.000 0.500 0.657 1
Ni3 Ni 0.500 0.500 0.000 1
Au1 Au 0.000 0.000 0.500 1
```

Results
crystal system = tetragonal
M_tot = 0.00 μB per formula unit
E_tot = -61.2 eV per cell
uncorrected formation energy = -0.67 eV per atom


Entry 10:
Material: BaSr2TlIr
Method: DFT, PBE
State: optimized geometry

Structure (CIF):
```
data_BaSr2TlIr
_cell_length_a 5.856
_cell_length_b 5.856
_cell_length_c 5.473
_cell_angle_alpha 90.00
_cell_angle_beta 90.00
_cell_angle_gamma 90.00
_space_group_name_H-M_alt 'P 4/m m m'
_space_group_IT_number 123
_space_group_name_Hall '-P 4 2'
loop_
_atom_site_label
_atom_site_type_symbol
_atom_site_fract_x
_atom_site_fract_y
_atom_site_fract_z
_atom_site_occupancy
Ba1 Ba 0.000 0.000 0.000 1
Sr1 Sr 0.000 0.500 0.500 1
Tl1 Tl 0.500 0.500 0.000 1
Ir1 Ir 0.500 0.500 0.500 1
```

Results
crystal system = tetragonal
M_tot = 0.00 μB per formula unit
E_tot = -17.0 eV per cell
E_form = -0.102 eV per atom


Entry 11:
Material: Pu2CuRhO8
Method: DFT, PBE
State: optimized geometry

Structure (CIF):
```
data_Pu2CuRhO8
_cell_length_a 5.124
_cell_length_b 5.124
_cell_length_c 10.438
_cell_angle_alpha 90.00
_cell_angle_beta 90.00
_cell_angle_gamma 90.00
_space_group_name_H-M_alt 'I -4'
_space_group_IT_number 82
_space_group_name_Hall 'I -4'
loop_
_atom_site_label
_atom_site_type_symbol
_atom_site_fract_x
_atom_site_fract_y
_atom_site_fract_z
_atom_site_occupancy
Pu1 Pu 0.000 0.000 0.000 1
Pu2 Pu 0.000 0.500 0.250 1
Cu1 Cu 0.000 0.000 0.500 1
Rh1 Rh 0.000 0.500 0.750 1
O1 O 0.227 0.251 0.864 1
O2 O 0.240 0.242 0.621 1
```

Results
crystal system = tetragonal
M_tot = 6.00 μB per formula unit
E_tot = -198.9 eV per cell
uncorrected formation energy = -1.64 eV per atom


Entry 12:
Material: Ba5AgO6
Method: DFT, PBE
State: optimized geometry

Structure (CIF):
```
data_Ba5AgO6
_cell_length_a 6.604
_cell_length_b 12.020
_cell_length_c 6.609
_cell_angle_alpha 90.00
_cell_angle_beta 104.79
_cell_angle_gamma 90.00
_space_group_name_H-M_alt 'C 1 2/m 1'
_space_group_IT_number 12
_space_group_name_Hall '-C 2y'
loop_
_atom_site_label
_atom_site_type_symbol
_atom_site_fract_x
_atom_site_fract_y
_atom_site_fract_z
_atom_site_occupancy
Ba1 Ba 0.000 0.000 0.000 1
Ba2 Ba 0.000 0.168 0.500 1
Ba3 Ba 0.000 0.341 0.000 1
Ag1 Ag 0.000 0.500 0.500 1
O1 O 0.223 0.175 0.224 1
O2 O 0.233 0.500 0.286 1
```

Results
crystal system = monoclinic
M_tot = 1.08 μB per formula unit
E_tot = -132.7 eV per cell
uncorrected formation energy = -2.01 eV per atom


Entry 13:
Material: Tb2NdTlO
Method: DFT, PBE
State: optimized geometry

Structure (CIF):
```
data_Tb2NdTlO
_cell_length_a 4.813
_cell_length_b 4.813
_cell_length_c 5.004
_cell_angle_alpha 90.00
_cell_angle_beta 90.00
_cell_angle_gamma 90.00
_space_group_name_H-M_alt 'P 4/m m m'
_space_group_IT_number 123
_space_group_name_Hall '-P 4 2'
loop_
_atom_site_label
_atom_site_type_symbol
_atom_site_fract_x
_atom_site_fract_y
_atom_site_fract_z
_atom_site_occupancy
Tb1 Tb 0.000 0.500 0.000 1
Nd1 Nd 0.000 0.000 0.500 1
Tl1 Tl 0.500 0.500 0.500 1
O1 O 0.000 0.000 0.000 1
```

Results
crystal system = tetragonal
M_tot = 0.00 μB per formula unit
E_tot = -28.1 eV per cell
uncorrected formation energy = -1.35 eV per atom


Entry 14:
Material: NdSc2TcN4
Method: DFT, PBE
State: optimized geometry

Structure (CIF):
```
data_NdSc2TcN4
_cell_length_a 3.349
_cell_length_b 11.306
_cell_length_c 11.046
_cell_angle_alpha 90.00
_cell_angle_beta 90.00
_cell_angle_gamma 90.00
_space_group_name_H-M_alt 'C m c m'
_space_group_IT_number 63
_space_group_name_Hall '-C 2c 2'
loop_
_atom_site_label
_atom_site_type_symbol
_atom_site_fract_x
_atom_site_fract_y
_atom_site_fract_z
_atom_site_occupancy
Nd1 Nd 0.000 0.121 0.250 1
Sc1 Sc 0.000 0.369 0.037 1
Tc1 Tc 0.000 0.141 0.750 1
N1 N 0.000 0.000 0.000 1
N2 N 0.000 0.260 0.618 1
N3 N 0.000 0.446 0.250 1
```

Results
crystal system = orthorhombic
M_tot = 0.00 μB per formula unit
E_tot = -281.0 eV per cell
uncorrected formation energy = -1.14 eV per atom


Entry 15:
Material: Er4CO3
Method: DFT, PBE
State: optimized geometry

Structure (CIF):
```
data_Er4CO3
_cell_length_a 5.905
_cell_length_b 6.861
_cell_length_c 5.921
_cell_angle_alpha 90.00
_cell_angle_beta 109.40
_cell_angle_gamma 90.00
_space_group_name_H-M_alt 'P 1 2/c 1'
_space_group_IT_number 13
_space_group_name_Hall '-P 2yc'
loop_
_atom_site_label
_atom_site_type_symbol
_atom_site_fract_x
_atom_site_fract_y
_atom_site_fract_z
_atom_site_occupancy
Er1 Er 0.244 0.119 0.000 1
Er2 Er 0.246 0.369 0.494 1
C1 C 0.000 0.130 0.250 1
O1 O 0.000 0.380 0.750 1
O2 O 0.500 0.134 0.750 1
O3 O 0.500 0.381 0.250 1
```

Results
crystal system = monoclinic
M_tot = 0.00 μB per formula unit
E_tot = -122.7 eV per cell
uncorrected formation energy = -2.38 eV per atom


Entry 16:
Material: NiHg4Pb
Method: DFT, PBE
State: optimized geometry

Structure (CIF):
```
data_NiHg4Pb
_cell_length_a 8.332
_cell_length_b 8.332
_cell_length_c 8.332
_cell_angle_alpha 90.00
_cell_angle_beta 90.00
_cell_angle_gamma 90.00
_space_group_name_H-M_alt 'F -4 3 m'
_space_group_IT_number 216
_space_group_name_Hall 'F -4 2 3'
loop_
_atom_site_label
_atom_site_type_symbol
_atom_site_fract_x
_atom_site_fract_y
_atom_site_fract_z
_atom_site_occupancy
Ni1 Ni 0.000 0.000 0.000 1
Hg1 Hg 0.126 0.126 0.374 1
Pb1 Pb 0.250 0.250 0.750 1
```

Results
crystal system = cubic
M_tot = 0.01 μB per formula unit
E_tot = -32.1 eV per cell
E_form = 0.446 eV per atom


Entry 17:
Material: K2TaSb
Method: DFT, PBE
State: optimized geometry

Structure (CIF):
```
data_K2TaSb
_cell_length_a 6.510
_cell_length_b 6.510
_cell_length_c 3.092
_cell_angle_alpha 90.00
_cell_angle_beta 90.00
_cell_angle_gamma 90.00
_space_group_name_H-M_alt 'P 4/m m m'
_space_group_IT_number 123
_space_group_name_Hall '-P 4 2'
loop_
_atom_site_label
_atom_site_type_symbol
_atom_site_fract_x
_atom_site_fract_y
_atom_site_fract_z
_atom_site_occupancy
K1 K 0.000 0.500 0.000 1
Ta1 Ta 0.000 0.000 0.500 1
Sb1 Sb 0.500 0.500 0.500 1
```

Results
crystal system = tetragonal
M_tot = 2.56 μB per formula unit
E_tot = -13.8 eV per cell
uncorrected formation energy = 1.10 eV per atom


Entry 18:
Material: Ac8Ge3PI4
Method: DFT, PBE
State: optimized geometry

Structure (CIF):
```
data_Ac8Ge3PI4
_cell_length_a 9.1555
_cell_length_b 9.1555
_cell_length_c 24.4588
_cell_angle_alpha 90.00
_cell_angle_beta 90.00
_cell_angle_gamma 120.00
_space_group_name_H-M_alt 'R -3 m'
_space_group_IT_number 166
_space_group_name_Hall '-R 3 2"'
loop_
_atom_site_label
_atom_site_type_symbol
_atom_site_fract_x
_atom_site_fract_y
_atom_site_fract_z
_atom_site_occupancy
Ac1 Ac 0.0000 0.0000 0.2339 1
Ac2 Ac 0.0054 0.5027 0.2328 1
Ge1 Ge 0.0000 0.5000 0.5000 1
P1 P 0.0000 0.0000 0.5000 1
I1 I 0.0000 0.0000 0.0000 1
I2 I 0.0000 0.5000 0.0000 1
```

Results
crystal system = trigonal
M_tot = 0.00 μB per formula unit
E_tot = -227.3 eV per cell
uncorrected formation energy = -1.09 eV per atom


Entry 19:
Material: HoMg4Rh5
Method: DFT, PBE
State: optimized geometry

Structure (CIF):
```
data_HoMg4Rh5
_cell_length_a 3.210
_cell_length_b 3.210
_cell_length_c 15.641
_cell_angle_alpha 90.00
_cell_angle_beta 90.00
_cell_angle_gamma 90.00
_space_group_name_H-M_alt 'P 4/m m m'
_space_group_IT_number 123
_space_group_name_Hall '-P 4 2'
loop_
_atom_site_label
_atom_site_type_symbol
_atom_site_fract_x
_atom_site_fract_y
_atom_site_fract_z
_atom_site_occupancy
Ho1 Ho 0.000 0.000 0.000 1
Mg1 Mg 0.000 0.000 0.212 1
Mg2 Mg 0.000 0.000 0.403 1
Rh1 Rh 0.500 0.500 0.111 1
Rh2 Rh 0.500 0.500 0.306 1
Rh3 Rh 0.500 0.500 0.500 1
```

Results
crystal system = tetragonal
M_tot = 0.00 μB per formula unit
E_tot = -53.3 eV per cell
E_form = -0.559 eV per atom


Entry 20:
Material: Mn7GaFeN2
Method: DFT, PBE
State: optimized geometry

Structure (CIF):
```
data_Mn7GaFeN2
_cell_length_a 3.696
_cell_length_b 3.696
_cell_length_c 9.681
_cell_angle_alpha 90.00
_cell_angle_beta 90.00
_cell_angle_gamma 90.00
_space_group_name_H-M_alt 'P 4/m m m'
_space_group_IT_number 123
_space_group_name_Hall '-P 4 2'
loop_
_atom_site_label
_atom_site_type_symbol
_atom_site_fract_x
_atom_site_fract_y
_atom_site_fract_z
_atom_site_occupancy
Mn1 Mn 0.000 0.000 0.000 1
Mn2 Mn 0.000 0.000 0.399 1
Mn3 Mn 0.000 0.500 0.225 1
Ga1 Ga 0.500 0.500 0.000 1
Fe1 Fe 0.500 0.500 0.500 1
N1 N 0.000 0.000 0.197 1
```

Results
crystal system = tetragonal
M_tot = 10.07 μB per formula unit
E_tot = -90.9 eV per cell
uncorrected formation energy = 0.13 eV per atom